Record 1
MnTcSn4 | GGA-PBE | relaxed

abc: 6.712 6.712 7.370
angles: 117.09 117.09 90.00
Atoms (fractional coordinates):
Sn  0.793  0.293  0.271
Sn  0.523  0.023  0.729
Sn  0.207  0.707  0.729
Tc  0.750  0.750  0.500
Sn  0.293  0.477  0.271
Mn  0.000  0.000  0.000
Tc  0.250  0.250  0.500
Sn  0.707  0.523  0.729
Sn  0.477  0.977  0.271
Sn  0.023  0.207  0.729
Mn  0.500  0.500  0.000
Sn  0.977  0.793  0.271

DFT formation energy	-0.029	eV/atom
SG	I4/mcm (140)

***

Record 2
La2GeI3 | GGA-PBE | relaxed

abc: 4.903 10.105 11.043
angles: 72.69 77.17 75.96
Atoms (fractional coordinates):
La  0.867  0.484  0.782
Ge  0.442  0.498  0.619
Ge  0.558  0.502  0.381
I  0.767  0.843  0.623
La  0.608  0.217  0.567
I  0.233  0.157  0.377
I  0.041  0.142  0.776
I  0.664  0.668  0.003
La  0.392  0.783  0.433
La  0.133  0.516  0.218
I  0.959  0.858  0.224
I  0.336  0.332  0.997

uncorrected formation energy	-7.3	eV/f.u.
SG	C2/m (12)

***

Record 3
Sr2TlTc | GGA-PBE | relaxed

abc: 5.673 5.673 3.694
angles: 90.00 90.00 90.00
Atoms (fractional coordinates):
Tl  0.000  0.500  0.500
Sr  0.500  0.500  0.000
Sr  0.000  0.000  0.000
Tc  0.500  0.000  0.500

excess energy over the best structure of this formula in the dataset	157	meV per atom
DFT formation energy	0.508	eV/atom
SG	P4/mmm (123)

***

Record 4
NdDy | GGA-PBE | relaxed

abc: 17.401 17.401 17.401
angles: 12.12 12.12 12.12
Atoms (fractional coordinates):
Nd  0.111  0.111  0.111
Dy  0.999  0.999  0.999
Dy  0.500  0.500  0.500
Nd  0.890  0.890  0.890
Dy  0.611  0.611  0.611
Nd  0.388  0.388  0.388

excess energy over the best structure of this formula in the dataset	10	meV per atom
DFT formation energy	0.036	eV/atom
SG	R3m (160)

***

Record 5
Er12InGa6 | GGA-PBE | relaxed

abc: 8.638 8.638 8.638
angles: 109.47 109.47 109.47
Atoms (fractional coordinates):
Ga  0.623  0.500  0.123
Er  0.293  0.104  0.811
In  0.000  0.000  0.000
Er  0.293  0.482  0.189
Ga  0.123  0.623  0.500
Ga  0.500  0.877  0.377
Er  0.811  0.293  0.104
Er  0.707  0.518  0.811
Er  0.189  0.293  0.482
Ga  0.377  0.500  0.877
Ga  0.877  0.377  0.500
Er  0.707  0.896  0.189
Er  0.482  0.189  0.293
Er  0.811  0.707  0.518
Er  0.896  0.189  0.707
Er  0.104  0.811  0.293
Ga  0.500  0.123  0.623
Er  0.189  0.707  0.896
Er  0.518  0.811  0.707

DFT formation energy	-0.387	eV/atom
SG	Im-3 (204)

***

Record 6
Ta2CrSe4S2 | GGA-PBE | relaxed

abc: 3.360 3.360 20.907
angles: 90.00 90.00 120.00
Atoms (fractional coordinates):
Se  0.000  0.000  0.728
Se  0.667  0.333  0.903
Ta  0.667  0.333  0.646
S  0.667  0.333  0.394
Ta  0.000  0.000  0.985
S  0.667  0.333  0.262
Se  0.000  0.000  0.564
Cr  0.000  0.000  0.328
Se  0.667  0.333  0.067

uncorrected formation energy	-6.1	eV/f.u.
SG	P3m1 (156)

***

Record 7
Cd2HO | GGA-PBE | relaxed

abc: 4.636 4.636 6.693
angles: 69.74 69.74 90.00
Atoms (fractional coordinates):
H  0.250  0.750  0.500
Cd  0.375  0.402  0.750
O  0.000  0.000  0.000
Cd  0.152  0.625  0.250
Cd  0.598  0.125  0.250
H  0.500  0.500  0.000
Cd  0.875  0.848  0.750
O  0.750  0.250  0.500

excess energy over the best structure of this formula in the dataset	0	meV per atom
SG	I-42d (122)

***

Record 8
ZrInMo | GGA-PBE | relaxed

abc: 7.256 7.256 7.256
angles: 156.71 156.71 33.17
Atoms (fractional coordinates):
In  0.993  0.993  0.000
Mo  0.336  0.336  0.000
Zr  0.672  0.672  0.000

excess energy over the best structure of this formula in the dataset	177	meV per atom
DFT formation energy	0.183	eV/atom
SG	I4mm (107)

***

What did the first record say?
MnTcSn4 | GGA-PBE | relaxed

abc: 6.712 6.712 7.370
angles: 117.09 117.09 90.00
Atoms (fractional coordinates):
Sn  0.793  0.293  0.271
Sn  0.523  0.023  0.729
Sn  0.207  0.707  0.729
Tc  0.750  0.750  0.500
Sn  0.293  0.477  0.271
Mn  0.000  0.000  0.000
Tc  0.250  0.250  0.500
Sn  0.707  0.523  0.729
Sn  0.477  0.977  0.271
Sn  0.023  0.207  0.729
Mn  0.500  0.500  0.000
Sn  0.977  0.793  0.271

DFT formation energy	-0.029	eV/atom
SG	I4/mcm (140)